(1)
VASP calculation (PBE) on a relaxed structure of BaCaGeSe4.

a b c (Å): 7.010 7.113 8.747
angles (deg): 90.00 107.34 90.00
Atoms (fractional coordinates):
Ba (0.750, 0.750, 0.938)
Ba (0.250, 0.250, 0.062)
Ca (0.763, 0.750, 0.442)
Ca (0.237, 0.250, 0.558)
Ge (0.223, 0.750, 0.320)
Ge (0.777, 0.250, 0.680)
Se (0.003, 0.508, 0.731)
Se (0.997, 0.008, 0.269)
Se (0.997, 0.492, 0.269)
Se (0.003, 0.992, 0.731)
Se (0.412, 0.750, 0.134)
Se (0.588, 0.250, 0.866)
Se (0.428, 0.750, 0.586)
Se (0.572, 0.250, 0.414)

Properties
Raw formation energy, eV/atom: -1.285


(2)
VASP calculation (PBE) on a relaxed structure of Eu2ZnO.

a b c (Å): 3.620 3.620 9.329
angles (deg): 78.81 78.81 60.00
Site moments in Bohr magnetons follow the coordinates.
Atoms (fractional coordinates):
Eu (0.115, 0.115, 0.654)  7.05
Eu (0.885, 0.885, 0.346)  7.05
Zn (0.000, 0.000, 0.000)  0.03
O (0.500, 0.500, 0.500)  -0.10

Properties
Raw formation energy, eV/atom: -1.114
Excess energy over the best structure of this formula in the dataset, kJ/mol of formula units: 0


(3)
VASP calculation (PBE) on a relaxed structure of LiMgMn2.

a b c (Å): 2.782 2.782 9.138
angles (deg): 90.00 90.00 108.80
Site moments in Bohr magnetons follow the coordinates.
Atoms (fractional coordinates):
Li (0.500, 0.500, 0.250)  -0.04
Mg (0.500, 0.500, 0.750)  -0.04
Mn (0.000, 0.000, 0.004)  3.63
Mn (0.000, 0.000, 0.496)  3.63

Properties
Energy relative to the elements, eV/atom: 0.43


(4)
VASP calculation (PBE) on a relaxed structure of Ca2ScAs4Pd3.

a b c (Å): 4.243 4.243 11.254
angles (deg): 90.00 90.00 90.00
Atoms (fractional coordinates):
Ca (0.500, 0.000, 0.238)
Ca (0.000, 0.500, 0.762)
Sc (0.500, 0.500, 0.500)
As (0.500, 0.500, 0.000)
As (0.000, 0.000, 0.000)
As (0.500, 0.000, 0.645)
As (0.000, 0.500, 0.355)
Pd (0.000, 0.000, 0.500)
Pd (0.500, 0.000, 0.868)
Pd (0.000, 0.500, 0.132)

Properties
Energy relative to the elements, eV/atom: -0.88


(5)
VASP calculation (PBE) on a relaxed structure of La2YZnCl.

a b c (Å): 5.464 5.108 5.464
angles (deg): 90.00 90.00 90.00
Atoms (fractional coordinates):
Y (0.000, 0.500, 0.000)
Zn (0.500, 0.500, 0.500)
Cl (0.000, 0.000, 0.000)
La (0.000, 0.000, 0.500)
La (0.500, 0.000, 0.000)

Properties
Raw formation energy, eV/atom: -0.430


(6)
VASP calculation (PBE) on a relaxed structure of Li3NbPd.

a b c (Å): 4.384 4.384 4.384
angles (deg): 90.00 90.00 90.00
Atoms (fractional coordinates):
Nb (0.500, 0.500, 0.500)
Pd (0.000, 0.000, 0.000)
Li (0.000, 0.500, 0.000)
Li (0.000, 0.000, 0.500)
Li (0.500, 0.000, 0.000)

Properties
Energy relative to the elements, eV/atom: 0.70
Excess energy over the best structure of this formula in the dataset, kJ/mol of formula units: 0


(7)
VASP calculation (PBE) on a relaxed structure of TiNbIrRu.

a b c (Å): 4.219 4.219 4.610
angles (deg): 117.24 117.23 90.00
Atoms (fractional coordinates):
Ti (0.750, 0.250, 0.500)
Nb (0.250, 0.750, 0.500)
Ir (0.000, 0.000, 0.000)
Ru (0.500, 0.500, 0.000)

Properties
Energy relative to the elements, eV/atom: -0.51
Excess energy over the best structure of this formula in the dataset, kJ/mol of formula units: 0


(8)
VASP calculation (PBE) on a relaxed structure of BaTcBO6.

a b c (Å): 5.164 5.165 5.730
angles (deg): 90.02 89.99 60.00
Atoms (fractional coordinates):
Ba (0.000, 0.001, 0.902)
Tc (0.333, 0.333, 0.439)
B (0.667, 0.667, 0.677)
O (0.068, 0.275, 0.299)
O (0.477, 0.976, 0.695)
O (0.548, 0.477, 0.695)
O (0.975, 0.548, 0.695)
O (0.276, 0.655, 0.298)
O (0.656, 0.067, 0.299)

Properties
Raw formation energy, eV/atom: -2.006


(9)
VASP calculation (PBE) on a relaxed structure of Li2ZnTcH6.

a b c (Å): 4.413 4.413 5.181
angles (deg): 115.23 115.23 89.98
Atoms (fractional coordinates):
Li (0.794, 0.294, 0.587)
Li (0.293, 0.794, 0.587)
Zn (0.569, 0.570, 0.137)
Tc (0.019, 0.019, 0.037)
H (0.694, 0.695, 0.893)
H (0.803, 0.804, 0.606)
H (0.200, 0.200, 0.894)
H (0.694, 0.200, 0.894)
H (0.234, 0.234, 0.468)
H (0.199, 0.695, 0.894)

Properties
Raw total energy, eV/atom: -3.610


(10)
VASP calculation (PBE) on a relaxed structure of Sr2Br.

a b c (Å): 6.539 6.539 3.970
angles (deg): 90.00 90.00 120.00
Atoms (fractional coordinates):
Sr (0.667, 0.333, 0.000)
Sr (0.333, 0.667, 0.000)
Br (0.000, 0.000, 0.500)

Properties
Raw formation energy, eV/atom: -0.239
Excess energy over the best structure of this formula in the dataset, kJ/mol of formula units: 209


(11)
VASP calculation (PBE) on a relaxed structure of LiNi2H4.

a b c (Å): 5.209 5.209 5.185
angles (deg): 119.63 119.63 90.79
Atoms (fractional coordinates):
Li (0.250, 0.750, 0.500)
Li (0.000, 0.000, 0.000)
Ni (0.625, 0.875, 0.250)
Ni (0.625, 0.375, 0.750)
Ni (0.125, 0.375, 0.750)
Ni (0.625, 0.375, 0.250)
H (0.858, 0.564, 0.709)
H (0.392, 0.186, 0.791)
H (0.855, 0.149, 0.291)
H (0.436, 0.142, 0.291)
H (0.851, 0.145, 0.709)
H (0.395, 0.601, 0.209)
H (0.814, 0.608, 0.209)
H (0.399, 0.605, 0.791)

Properties
Excess energy over the best structure of this formula in the dataset, kJ/mol of formula units: 0


(12)
VASP calculation (PBE) on a relaxed structure of NaCrSb2.

a b c (Å): 3.588 3.588 8.919
angles (deg): 78.39 78.39 60.00
Site moments in Bohr magnetons follow the coordinates.
Atoms (fractional coordinates):
Sb (0.264, 0.264, 0.208)  -0.12
Sb (0.736, 0.736, 0.792)  -0.12
Na (0.500, 0.500, 0.500)  0.00
Cr (0.000, 0.000, 0.000)  2.78

Properties
Raw formation energy, eV/atom: -0.008
Excess energy over the best structure of this formula in the dataset, kJ/mol of formula units: 0


One value per record, in order, for volume: 416.3 103.2 67.0 202.6 152.5 84.3 62.5 132.4 80.5 147.0 99.9 96.7 Å³ per cell.